An optimized crystal structure of PrTh2FeN4. Source: Alexandria via LeMat-Bulk, functional PBE.

Formation energy without anion corrections, meV per atom: -1148

POSCAR file:
```
PrTh2FeN4
1.0
1.813 -5.929 0.000
1.813 5.929 0.000
0.000 0.000 11.915
Pr Th Fe N
2 4 2 8
Direct
0.098 0.902 0.750 Pr
0.902 0.098 0.250 Pr
0.368 0.632 0.558 Th
0.368 0.632 0.942 Th
0.632 0.368 0.058 Th
0.632 0.368 0.442 Th
0.165 0.835 0.250 Fe
0.835 0.165 0.750 Fe
0.000 0.000 0.000 N
0.000 0.000 0.500 N
0.266 0.734 0.121 N
0.266 0.734 0.379 N
0.446 0.554 0.750 N
0.554 0.446 0.250 N
0.734 0.266 0.621 N
0.734 0.266 0.879 N
```



An optimized crystal structure of PrTm2FeN4. Source: Alexandria via LeMat-Bulk, functional PBE.

Formation energy without anion corrections, meV per atom: -1181

POSCAR file:
```
PrTm2FeN4
1.0
1.690 -5.680 0.000
1.690 5.680 0.000
0.000 0.000 11.369
Pr Tm Fe N
2 4 2 8
Direct
0.105 0.895 0.750 Pr
0.895 0.105 0.250 Pr
0.368 0.632 0.545 Tm
0.368 0.632 0.955 Tm
0.632 0.368 0.045 Tm
0.632 0.368 0.455 Tm
0.161 0.839 0.250 Fe
0.839 0.161 0.750 Fe
0.000 0.000 0.000 N
0.000 0.000 0.500 N
0.265 0.735 0.126 N
0.265 0.735 0.374 N
0.416 0.584 0.750 N
0.584 0.416 0.250 N
0.735 0.265 0.626 N
0.735 0.265 0.874 N
```



An optimized crystal structure of PrU2FeN4. Source: Alexandria via LeMat-Bulk, functional PBE.

Formation energy without anion corrections, meV per atom: -1173

POSCAR file:
```
PrU2FeN4
1.0
1.726 -5.748 0.000
1.726 5.748 0.000
0.000 0.000 11.273
Pr U Fe N
2 4 2 8
Direct
0.101 0.899 0.750 Pr
0.899 0.101 0.250 Pr
0.369 0.631 0.558 U
0.369 0.631 0.942 U
0.631 0.369 0.058 U
0.631 0.369 0.442 U
0.162 0.838 0.250 Fe
0.838 0.162 0.750 Fe
0.000 0.000 0.000 N
0.000 0.000 0.500 N
0.267 0.733 0.111 N
0.267 0.733 0.389 N
0.439 0.561 0.750 N
0.561 0.439 0.250 N
0.733 0.267 0.611 N
0.733 0.267 0.889 N
```



An optimized crystal structure of Pr2UFe2N6. Source: Alexandria via LeMat-Bulk, functional PBE.

Formation energy without anion corrections, meV per atom: -676

POSCAR file:
```
Pr2UFe2N6
1.0
2.874 1.659 5.593
-2.874 1.659 5.593
0.000 -3.318 5.593
Pr U Fe N
2 1 2 6
Direct
0.212 0.212 0.212 Pr
0.788 0.788 0.788 Pr
0.000 0.000 0.000 U
0.408 0.408 0.408 Fe
0.592 0.592 0.592 Fe
0.228 0.752 0.752 N
0.248 0.248 0.772 N
0.248 0.772 0.248 N
0.752 0.228 0.752 N
0.752 0.752 0.228 N
0.772 0.248 0.248 N
```



An optimized crystal structure of Pr2FeWN5. Source: Alexandria via LeMat-Bulk, functional PBE.

Formation energy without anion corrections, meV per atom: -699

POSCAR file:
```
Pr2FeWN5
1.0
1.632 -7.095 0.000
1.632 7.095 0.000
0.000 0.000 10.172
Pr Fe W N
4 2 2 10
Direct
0.119 0.881 0.500 Pr
0.126 0.874 0.124 Pr
0.874 0.126 0.624 Pr
0.881 0.119 0.000 Pr
0.446 0.554 0.254 Fe
0.554 0.446 0.754 Fe
0.204 0.796 0.825 W
0.796 0.204 0.325 W
0.032 0.968 0.821 N
0.303 0.697 0.456 N
0.320 0.680 0.185 N
0.333 0.667 0.810 N
0.496 0.504 0.090 N
0.504 0.496 0.590 N
0.667 0.333 0.310 N
0.680 0.320 0.685 N
0.697 0.303 0.956 N
0.968 0.032 0.321 N
```



An optimized crystal structure of PrY2FeN4. Source: Alexandria via LeMat-Bulk, functional PBE.

Formation energy without anion corrections, meV per atom: -1098

POSCAR file:
```
PrY2FeN4
1.0
1.713 -5.740 0.000
1.713 5.740 0.000
0.000 0.000 11.601
Pr Y Fe N
2 4 2 8
Direct
0.115 0.885 0.750 Pr
0.885 0.115 0.250 Pr
0.368 0.632 0.545 Y
0.368 0.632 0.955 Y
0.632 0.368 0.045 Y
0.632 0.368 0.455 Y
0.157 0.843 0.250 Fe
0.843 0.157 0.750 Fe
0.000 0.000 0.000 N
0.000 0.000 0.500 N
0.266 0.734 0.129 N
0.266 0.734 0.371 N
0.410 0.590 0.750 N
0.590 0.410 0.250 N
0.734 0.266 0.629 N
0.734 0.266 0.871 N
```



Fermi-level density of states readings, ordered: 2.27 3.34 5.52 4.13 2.59 3.01 states/eV/f.u.
Calculated density readings, ordered: 9.3 9.0 10.8 7.4 8.3 6.3 g/cm³